AcTiBi2 PBE-GGA optimized geometry; final energy = -20.8 eV/cell; energy relative to the lowest polymorph listed for this composition = 0 meV/atom; DOS at the Fermi energy = 3.29 states/eV per cell; formation energy from the elements = -0.27 eV/atom; crystal system = tetragonal
1.0
3.759 0.000 0.000
0.000 3.759 0.000
0.000 0.000 8.200
Ac Ti Bi
1 1 2
Cartesian
0.000 0.000 0.000
0.000 0.000 4.100
1.880 1.880 2.421
1.880 1.880 5.779